The following is a PBE calculation of crystalline Re2AsO at its relaxed geometry, from Alexandria.

```
4
Lattice="0.000 2.959 2.959 2.959 0.000 2.959 2.959 2.959 0.000" Properties=species:S:1:pos:R:3 pbc="T T T"
Re 1.480 1.480 1.480
Re 4.439 4.439 4.439
As 2.959 2.959 2.959
O 0.000 0.000 0.000
```

* offset from the most stable computed form: 308.7 meV per atom
* total magnetization: 0.0 μB per cell
* DFT total energy: -32.67 eV/f.u.
* formation energy (no corrections): 0.4579 eV per atom
* symmetry: No. 225

The following is a PBE calculation of crystalline ReAsO3 at its relaxed geometry, from Alexandria.

```
5
Lattice="3.893 0.000 0.000 0.000 3.893 0.000 0.000 0.000 3.893" Properties=species:S:1:pos:R:3 pbc="T T T"
Re 1.946 1.946 1.946
As 0.000 0.000 0.000
O 0.000 1.946 0.000
O 0.000 0.000 1.946
O 1.946 0.000 0.000
```

* total magnetization: 5.0 μB per cell
* DFT total energy: -30.27 eV/f.u.
* formation energy (no corrections): 0.3407 eV per atom
* symmetry: No. 221

The following is a PBE calculation of crystalline ReAsO3 at its relaxed geometry, from Alexandria.

```
5
Lattice="3.904 0.000 0.000 0.000 3.904 0.000 0.000 0.000 3.904" Properties=species:S:1:pos:R:3 pbc="T T T"
Re 0.000 0.000 0.000
As 1.952 1.952 1.952
O 0.000 1.952 0.000
O 0.000 0.000 1.952
O 1.952 0.000 0.000
```

* total magnetization: 0.0 μB per cell
* DFT total energy: -34.51 eV/f.u.
* formation energy (no corrections): -0.5080 eV per atom
* symmetry: No. 221

The following is a PBE calculation of crystalline ReAsO at its relaxed geometry, from Alexandria.

```
12
Lattice="5.625 0.000 0.000 0.000 5.719 -0.355 0.000 -1.902 5.431" Properties=species:S:1:pos:R:3 pbc="T T T"
O 2.141 3.481 3.383
O 3.484 0.335 1.693
O 0.672 4.432 0.668
O 4.953 -0.616 4.408
As 2.144 1.650 0.694
As 3.481 2.166 4.383
As 4.956 3.117 1.667
As 0.669 0.700 3.409
Re 0.068 3.085 4.090
Re 2.744 4.035 1.375
Re 5.557 0.732 0.986
Re 2.881 -0.219 3.702
```

* total magnetization: 0.0 μB per cell
* DFT total energy: -23.11 eV/f.u.
* formation energy (no corrections): -0.3512 eV per atom
* symmetry: No. 14

The following is a PBE calculation of crystalline Re2AsO at its relaxed geometry, from Alexandria.

```
8
Lattice="4.238 0.000 0.000 0.000 4.238 0.000 2.119 2.119 6.891" Properties=species:S:1:pos:R:3 pbc="T T T"
Re 2.809 1.059 1.723
Re 1.428 3.178 1.723
Re 3.178 3.547 5.168
Re 5.297 4.928 5.168
As 0.000 0.000 0.000
As 4.238 2.119 3.446
O 2.119 2.119 0.000
O 2.119 4.238 3.446
```

* offset from the most stable computed form: 0.0 meV per atom
* total magnetization: 0.0 μB per cell
* DFT total energy: -33.91 eV/f.u.
* formation energy (no corrections): 0.1492 eV per atom
* symmetry: No. 122

The following is a PBE calculation of crystalline Re2AsSO at its relaxed geometry, from Alexandria.

```
5
Lattice="-0.640 -4.520 0.053 2.345 -0.362 -2.500 3.284 -0.428 3.143" Properties=species:S:1:pos:R:3 pbc="T T T"
Re 1.642 -0.214 1.572
Re -0.320 -2.260 0.027
As 2.494 -2.655 0.348
S 0.000 0.000 0.000
O 1.173 -0.181 -1.250
```

* total magnetization: 0.7 μB per cell
* DFT total energy: -33.85 eV/f.u.
* formation energy (no corrections): 0.9562 eV per atom
* symmetry: No. 123

The following is a PBE calculation of crystalline TlReAs2O8 at its relaxed geometry, from Alexandria.

```
12
Lattice="-4.202 2.623 0.935 -4.421 -1.586 -1.831 -4.248 -4.546 7.256" Properties=species:S:1:pos:R:3 pbc="T T T"
Tl -6.436 -1.755 3.180
Re 0.000 0.000 0.000
As -3.147 -0.623 1.198
As -9.725 -2.886 5.162
O -3.398 -1.520 2.582
O -4.333 0.664 1.046
O -9.473 -1.989 3.778
O -7.465 0.998 0.693
O -5.406 -4.508 5.667
O -5.975 -1.465 -0.632
O -6.896 -2.044 6.992
O -8.538 -4.173 5.314
```

* total magnetization: 2.0 μB per cell
* DFT total energy: -77.73 eV/f.u.
* formation energy (no corrections): -1.1630 eV per atom
* symmetry: No. 148

The following is a PBE calculation of crystalline AsRhO3 at its relaxed geometry, from Alexandria.

```
5
Lattice="3.877 0.000 0.000 0.000 3.877 0.000 0.000 0.000 3.877" Properties=species:S:1:pos:R:3 pbc="T T T"
As 1.938 1.938 1.938
Rh 0.000 0.000 0.000
O 0.000 1.938 0.000
O 0.000 0.000 1.938
O 1.938 0.000 0.000
```

* total magnetization: 0.0 μB per cell
* DFT total energy: -27.10 eV/f.u.
* formation energy (no corrections): -0.0454 eV per atom
* symmetry: No. 221